Entry 1:
VASP calculation (SCAN) on Tl3Te at its PBEsol-relaxed geometry.

As for the uncorrected formation energy: -16 kJ per mole of atoms. The energy relative to the lowest polymorph listed for this composition comes out at 0.08 eV/f.u.

abc: 4.783 4.783 10.398
angles: 90.00 90.00 90.00
Space group I4/mmm (No. 139)
Symmetry-distinct sites (fractional):
Tl  0.000  0.000  0.000 [2 per cell]
Tl  0.000  0.500  0.250 [4 per cell]
Te  0.000  0.000  0.500 [2 per cell]

Entry 2:
VASP calculation (SCAN) on ScAlRh2 at its PBEsol-relaxed geometry.

Its energy of formation is -1.22 eV per atom.

abc: 3.090 3.090 6.114
angles: 90.00 90.00 90.00
Space group P4/mmm (No. 123)
Symmetry-distinct sites (fractional):
Sc  0.000  0.000  0.000 [1 per cell]
Al  0.000  0.000  0.500 [1 per cell]
Rh  0.500  0.500  0.266 [2 per cell]

Number 1: calculated total energy -63.745 eV/atom. Number 2: calculated total energy -23.607 eV/atom.